(1)
The following is a DFT calculation (PBE) of an optimized crystal structure of YbMgHg2.

Unit cell a=5.1123 b=5.1123 c=5.1123 alpha=60.00 beta=60.00 gamma=60.00
With the nearest neighbours (Å) after each atom.
Atoms (fractional coordinates):
Yb 0.0000 0.0000 0.0000  8 Hg 3.13
Mg 0.5000 0.5000 0.5000  8 Hg 3.13
Hg 0.2500 0.2500 0.2500  4 Mg 3.13, 4 Yb 3.13
Hg 0.7500 0.7500 0.7500  4 Yb 3.13, 4 Mg 3.13

crystal system	cubic
energy of formation from the pure elements	-0.448	eV/atom

=====

(2)
The following is a DFT calculation (PBE) of an optimized crystal structure of MgZnHg2.

Unit cell a=6.1054 b=6.1054 c=6.1054 alpha=148.17 beta=134.22 gamma=56.84
With the nearest neighbours (Å) after each atom.
Atoms (fractional coordinates):
Mg 0.0000 0.0000 0.0000  2 Zn 2.93, 6 Hg 2.93-3.24
Zn 0.2234 0.7234 0.5000  6 Hg 2.91-3.06, 2 Mg 2.93
Hg 0.4622 0.4622 0.0000  4 Mg 2.93, 2 Zn 3.06
Hg 0.7412 0.2412 0.5000  4 Zn 2.91, 2 Mg 3.24

crystal system	orthorhombic
energy of formation from the pure elements	-0.021	eV/atom

=====

(3)
The following is a DFT calculation (PBE) of an optimized crystal structure of Mg2ZnHg.

Unit cell a=9.1136 b=9.1136 c=9.1136 alpha=20.87 beta=20.87 gamma=20.87
With the nearest neighbours (Å) after each atom.
Atoms (fractional coordinates):
Mg 0.2448 0.2448 0.2448  3 Zn 2.83, 3 Hg 3.04
Mg 0.7552 0.7552 0.7552  3 Zn 2.83, 3 Hg 3.04
Zn 0.5000 0.5000 0.5000  6 Mg 2.83
Hg 0.0000 0.0000 0.0000  6 Mg 3.04, 6 Hg 3.30

crystal system	trigonal
energy of formation from the pure elements	-0.054	eV/atom

=====

Which value of energy of formation from the pure elements does entry 3 give?
-0.054 eV/atom

=====

Number 2 is which compound?
MgZnHg2

=====

Among the records above, which one has the lowest energy of formation from the pure elements?
YbMgHg2

=====

The lowest energy of formation from the pure elements belongs to which entry?
YbMgHg2